Below is an optimized crystal structure of CsGdCdO3, with properties calculated at the PBE level.

## Properties
**Volume**: 123 Å³/f.u.
**E**: -5.57 eV/atom

Lattice parameters (Å, degrees): 3.6618 14.3325 9.3426 90.00 90.00 90.00
With the nearest neighbours (Å) after each atom.
Space group Cmcm (No. 63)
Inequivalent atoms, fractional coordinates:
Cs1 0.0000 0.1956 0.2500 x4  4 O 2.91-3.10
Gd1 0.0000 0.5000 0.0000 x4  6 O 2.36
Cd1 0.0000 0.0816 0.7500 x4  4 O 2.11-2.35
O1 0.0000 0.1020 0.5265 x8  1 Cd 2.11, 2 Gd 2.36
O2 0.0000 0.4786 0.7500 x4  2 Cd 2.35, 2 Gd 2.36

=====

Below is an optimized crystal structure of TbAsOsO, with properties calculated at the PBE level.

## Properties
**Energy above the lowest structure with this stoichiometry**: 669.7 meV per atom
**Volume**: 72 Å³/f.u.

Lattice parameters (Å, degrees): 4.1084 6.1073 5.7669 90.00 90.00 90.00
With the nearest neighbours (Å) after each atom.
Space group Pmc2_1 (No. 26)
Inequivalent atoms, fractional coordinates:
Tb1 0.0000 0.1821 0.0000 x2  2 O 2.15
As1 0.0000 0.3201 0.4745 x2  4 Os 2.66-2.84, 1 Tb 2.86
Os1 0.5000 0.4908 0.1879 x2  2 O 2.06-2.15
O1 0.5000 0.2494 0.9162 x2  2 Os 2.06-2.15, 2 Tb 2.15

=====

Below is an optimized crystal structure of RbYTc, with properties calculated at the PBE level.

## Properties
**Energy above the lowest structure with this stoichiometry**: 572.4 meV per atom
**Volume**: 93 Å³/f.u.

Lattice parameters (Å, degrees): 7.1897 7.1897 7.1897 90.00 90.00 90.00
With the nearest neighbours (Å) after each atom.
Space group F-43m (No. 216)
Inequivalent atoms, fractional coordinates:
Rb1 0.0000 0.0000 0.0000 x4  4 Y 3.11, 4 Tc 3.11
Y1 0.2500 0.2500 0.2500 x4  4 Rb 3.11
Tc1 0.2500 0.2500 0.7500 x4  4 Rb 3.11

=====

Below is an optimized crystal structure of CsHoSnTe3, with properties calculated at the PBE level.

## Properties
**Volume**: 248 Å³/f.u.
**E**: -4.05 eV/atom

Lattice parameters (Å, degrees): 4.3969 17.6294 12.8221 90.00 90.00 90.00
With the nearest neighbours (Å) after each atom.
Space group Cmcm (No. 63)
Inequivalent atoms, fractional coordinates:
Cs1 0.0000 0.2213 0.2500 x4  4 Te 3.77-4.17, 2 Sn 3.95
Ho1 0.0000 0.5000 0.0000 x4  6 Te 3.06-3.23
Sn1 0.0000 0.0922 0.7500 x4  4 Te 2.96-3.12
Te1 0.0000 0.1203 0.5095 x8  2 Ho 3.06, 1 Sn 3.12
Te2 0.0000 0.4798 0.7500 x4  2 Sn 2.96, 2 Ho 3.23

=====

Below is an optimized crystal structure of MgInCuMo, with properties calculated at the PBE level.

## Properties
**Energy above the lowest structure with this stoichiometry**: 0.0 meV per atom
**Volume**: 69 Å³/f.u.

Lattice parameters (Å, degrees): 6.5150 6.5150 6.5150 90.00 90.00 90.00
With the nearest neighbours (Å) after each atom.
Space group F-43m (No. 216)
Inequivalent atoms, fractional coordinates:
Mg1 0.0000 0.0000 0.0000 x4  4 Mo 2.82, 4 Cu 2.82
In1 0.0000 0.0000 0.5000 x4  4 Cu 2.82, 4 Mo 2.82
Cu1 0.2500 0.2500 0.7500 x4  4 In 2.82, 4 Mg 2.82
Mo1 0.2500 0.2500 0.2500 x4  4 In 2.82, 4 Mg 2.82

=====

Below is an optimized crystal structure of AlHg2Os, with properties calculated at the PBE level.

## Properties
**Volume**: 72 Å³/f.u.
**E**: -3.23 eV/atom

Lattice parameters (Å, degrees): 6.5902 6.5902 6.5902 90.00 90.00 90.00
With the nearest neighbours (Å) after each atom.
Space group F-43m (No. 216)
Inequivalent atoms, fractional coordinates:
Al1 0.0000 0.0000 0.0000 x4  4 Hg 2.85, 4 Os 2.85
Hg1 0.0000 0.0000 0.5000 x4  4 Hg 2.85, 4 Os 2.85
Hg2 0.2500 0.2500 0.7500 x4  4 Hg 2.85, 4 Al 2.85
Os1 0.2500 0.2500 0.2500 x4  4 Hg 2.85, 4 Al 2.85

=====

Below is an optimized crystal structure of SmScOs, with properties calculated at the PBE level.

## Properties
**Energy above the lowest structure with this stoichiometry**: 0.0 meV per atom
**Volume**: 69 Å³/f.u.
**Calculated formation energy**: 0.513 eV per atom

Lattice parameters (Å, degrees): 6.4971 6.4971 6.4971 90.00 90.00 90.00
With the nearest neighbours (Å) after each atom.
Space group F-43m (No. 216)
Inequivalent atoms, fractional coordinates:
Sm1 0.0000 0.0000 0.0000 x4  4 Sc 2.81
Sc1 0.2500 0.2500 0.7500 x4  4 Os 2.81, 4 Sm 2.81
Os1 0.0000 0.0000 0.5000 x4  4 Sc 2.81

=====

Below is an optimized crystal structure of Ba2TbW2, with properties calculated at the PBE level.

## Properties
**Energy above the lowest structure with this stoichiometry**: 355.0 meV per atom
**Volume**: 157 Å³/f.u.

Lattice parameters (Å, degrees): 4.6911 4.6911 14.2772 90.00 90.00 90.00
With the nearest neighbours (Å) after each atom.
Space group I4/mmm (No. 139)
Inequivalent atoms, fractional coordinates:
Ba1 0.0000 0.5000 0.2500 x4  4 Ba 3.32, 4 W 3.40
Tb1 0.0000 0.0000 0.0000 x2  8 W 3.50
W1 0.0000 0.0000 0.4223 x4  1 W 2.22

=====

Below is an optimized crystal structure of K2Nd, with properties calculated at the PBE level.

## Properties
**Volume**: 148 Å³/f.u.
**E**: -1.70 eV/atom

Lattice parameters (Å, degrees): 10.5832 10.5832 10.5832 90.00 90.00 90.00
With the nearest neighbours (Å) after each atom.
Space group Fd-3m (No. 227, origin choice 2)
Inequivalent atoms, fractional coordinates:
K1 0.0000 0.0000 0.0000 x16  6 K 3.74
Nd1 0.1250 0.1250 0.6250 x8  12 K 4.39, 4 Nd 4.58

=====

Below is an optimized crystal structure of OsO3, with properties calculated at the PBE level.

## Properties
**Volume**: 46 Å³/f.u.
**E**: -7.25 eV/atom

Lattice parameters (Å, degrees): 4.6953 8.5906 4.6832 90.00 104.55 90.00
With the nearest neighbours (Å) after each atom.
Space group C2 (No. 5)
Inequivalent atoms, fractional coordinates:
Os1 0.0000 0.0000 0.0000 x2  6 O 1.86-2.07
Os2 0.0000 0.4552 0.5000 x2  6 O 1.86-2.07
O1 0.2416 0.8226 0.2477 x4  2 Os 1.86-2.07
O2 0.2459 0.4773 0.2458 x4  2 Os 1.86
O3 0.2480 0.6327 0.7418 x4  2 Os 1.86-2.07

=====

Below is an optimized crystal structure of InAsOsO, with properties calculated at the PBE level.

## Properties
**Energy above the lowest structure with this stoichiometry**: 0.0 meV per atom
**Volume**: 63 Å³/f.u.

Lattice parameters (Å, degrees): 4.0917 4.0917 7.5145 90.00 90.00 90.00
With the nearest neighbours (Å) after each atom.
Space group P4/nmm (No. 129, origin choice 2)
Inequivalent atoms, fractional coordinates:
In1 0.2500 0.2500 0.1290 x2  4 O 2.26
As1 0.2500 0.2500 0.6844 x2  4 Os 2.47
Os1 0.2500 0.7500 0.5000 x2  4 As 2.47
O1 0.2500 0.7500 0.0000 x2  4 In 2.26

=====

Below is an optimized crystal structure of ZrZnCuAg, with properties calculated at the PBE level.

## Properties
**Energy above the lowest structure with this stoichiometry**: 55.3 meV per atom
**Volume**: 67 Å³/f.u.
**Calculated formation energy**: -0.064 eV per atom

Lattice parameters (Å, degrees): 6.4319 6.4319 6.4319 90.00 90.00 90.00
With the nearest neighbours (Å) after each atom.
Space group F-43m (No. 216)
Inequivalent atoms, fractional coordinates:
Zr1 0.0000 0.0000 0.0000 x4  4 Zn 2.79, 4 Ag 2.79
Zn1 0.2500 0.2500 0.2500 x4  4 Zr 2.79, 4 Cu 2.79
Cu1 0.0000 0.0000 0.5000 x4  4 Ag 2.79, 4 Zn 2.79
Ag1 0.2500 0.2500 0.7500 x4  4 Zr 2.79, 4 Cu 2.79

=====

Below is an optimized crystal structure of NdTmB, with properties calculated at the PBE level.

## Properties
**Energy above the lowest structure with this stoichiometry**: 0.0 meV per atom
**Volume**: 68 Å³/f.u.

Lattice parameters (Å, degrees): 6.4712 6.4712 6.4712 90.00 90.00 90.00
With the nearest neighbours (Å) after each atom.
Space group F-43m (No. 216)
Inequivalent atoms, fractional coordinates:
Nd1 0.0000 0.0000 0.0000 x4  4 B 2.80
Tm1 0.0000 0.0000 0.5000 x4  4 B 2.80
B1 0.2500 0.2500 0.2500 x4  4 Nd 2.80, 4 Tm 2.80

=====

Below is an optimized crystal structure of BeCdGaCu, with properties calculated at the PBE level.

## Properties
**Energy above the lowest structure with this stoichiometry**: 0.0 meV per atom
**Volume**: 59 Å³/f.u.

Lattice parameters (Å, degrees): 6.1901 6.1901 6.1901 90.00 90.00 90.00
With the nearest neighbours (Å) after each atom.
Space group F-43m (No. 216)
Inequivalent atoms, fractional coordinates:
Be1 0.0000 0.0000 0.0000 x4  4 Cd 2.68, 4 Ga 2.68
Cd1 0.2500 0.2500 0.7500 x4  4 Be 2.68, 4 Cu 2.68
Ga1 0.2500 0.2500 0.2500 x4  4 Be 2.68, 4 Cu 2.68
Cu1 0.0000 0.0000 0.5000 x4  4 Ga 2.68, 4 Cd 2.68

=====

Below is an optimized crystal structure of Tb2Al17, with properties calculated at the PBE level.

## Properties
**Volume**: 347 Å³/f.u.
**E**: -3.95 eV/atom

Lattice parameters (Å, degrees): 9.4178 9.4178 9.0223 90.00 90.00 120.00
With the nearest neighbours (Å) after each atom.
Space group P6_3/mmc (No. 194)
Inequivalent atoms, fractional coordinates:
Tb1 0.0000 0.0000 0.2500 x2  18 Al 3.28-3.64
Tb2 0.3333 0.6667 0.2500 x2  20 Al 3.18-3.53
Al1 0.0000 0.5000 0.0000 x6  10 Al 2.70-2.87
Al2 0.0374 0.3652 0.7500 x12  8 Al 2.70-2.89
Al3 0.1640 0.3280 0.0239 x12  9 Al 2.71-2.99
Al4 0.3333 0.6667 0.6024 x4  4 Al 2.66-2.87

=====

Below is an optimized crystal structure of Ho2Pt2O5, with properties calculated at the PBE level.

## Properties
**Energy above the lowest structure with this stoichiometry**: 45.1 meV per atom
**Volume**: 126 Å³/f.u.

Lattice parameters (Å, degrees): 3.7332 3.7332 9.0128 90.00 90.00 90.00
With the nearest neighbours (Å) after each atom.
Space group P4/mmm (No. 123)
Inequivalent atoms, fractional coordinates:
Ho1 0.0000 0.0000 0.2395 x2  5 O 2.16-2.19
Pt1 0.5000 0.5000 0.0000 x1  4 O 2.64
Pt2 0.5000 0.5000 0.5000 x1  8 O 2.22
O1 0.0000 0.0000 0.0000 x1  2 Ho 2.16
O2 0.0000 0.5000 0.3662 x4  2 Ho 2.19, 2 Pt 2.22, 1 O 2.41

=====

Below is an optimized crystal structure of GdLuCSe, with properties calculated at the PBE level.

## Properties
**Volume**: 80 Å³/f.u.
**E**: -6.62 eV/atom

Lattice parameters (Å, degrees): 3.7372 3.7372 13.1911 90.00 90.00 120.00
With the nearest neighbours (Å) after each atom.
Space group P-6m2 (No. 187)
Inequivalent atoms, fractional coordinates:
Gd1 0.0000 0.0000 0.1542 x2  3 C 2.55
Lu1 0.6667 0.3333 0.3537 x2  3 C 2.50
C1 0.3333 0.6667 0.2579 x2  3 Lu 2.50, 3 Gd 2.55
Se1 0.0000 0.0000 0.5000 x1  6 Lu 2.90
Se2 0.6667 0.3333 0.0000 x1  6 Gd 2.97

=====

Below is an optimized crystal structure of As2P2Pd, with properties calculated at the PBE level.

## Properties
**Volume**: 104 Å³/f.u.
**E**: -4.94 eV/atom

Lattice parameters (Å, degrees): 6.6887 8.5447 7.2513 90.00 90.00 90.00
With the nearest neighbours (Å) after each atom.
Space group Cmcm (No. 63)
Inequivalent atoms, fractional coordinates:
As1 0.2491 0.1042 0.2500 x8  2 P 2.28-2.45
P1 0.0000 0.1869 0.7500 x4  2 Pd 2.42, 2 As 2.45
P2 0.0000 0.4239 0.2500 x4  2 As 2.28
Pd1 0.0000 0.0000 0.0000 x4  2 P 2.42, 4 As 2.62

=====

Below is an optimized crystal structure of Tb2GdTl3AgPd2, with properties calculated at the PBE level.

## Properties
**Volume**: 207 Å³/f.u.
**E**: -4.35 eV/atom

Lattice parameters (Å, degrees): 3.7975 13.7606 7.9393 90.00 90.00 90.00
With the nearest neighbours (Å) after each atom.
Space group Amm2 (No. 38)
Inequivalent atoms, fractional coordinates:
Tb1 0.0000 0.2035 0.0000 x4  4 Pd 3.06, 6 Tl 3.17-3.43, 1 Ag 3.23
Gd1 0.0000 0.0000 0.6104 x2  4 Pd 3.07, 6 Tl 3.17-3.43, 1 Ag 3.23
Tl1 0.5000 0.0000 0.9307 x2  2 Ag 2.88, 2 Pd 2.92, 2 Gd 3.17
Tl2 0.5000 0.1366 0.3398 x4  2 Ag 2.88, 2 Pd 2.91-2.92, 2 Tb 3.17
Ag1 0.0000 0.0000 0.2033 x2  6 Tl 2.88
Pd1 0.5000 0.1672 0.7038 x4  3 Tl 2.91-2.92, 4 Tb 3.06, 2 Gd 3.07

=====

Below is an optimized crystal structure of BaAu2, with properties calculated at the PBE level.

## Properties
**Volume**: 78 Å³/f.u.
**E**: -3.20 eV/atom

Lattice parameters (Å, degrees): 5.0582 5.0582 7.0045 90.00 90.00 120.00
With the nearest neighbours (Å) after each atom.
Space group P6_3/mmc (No. 194)
Inequivalent atoms, fractional coordinates:
Ba1 0.3333 0.6667 0.2500 x2  3 Au 2.92
Au1 0.0000 0.0000 0.0000 x2  6 Ba 3.41, 8 Au 3.41-3.50
Au2 0.3333 0.6667 0.7500 x2  3 Ba 2.92

=====

Below is an optimized crystal structure of MgBeSiNi, with properties calculated at the PBE level.

## Properties
**Energy above the lowest structure with this stoichiometry**: 46.3 meV per atom
**Volume**: 49 Å³/f.u.

Lattice parameters (Å, degrees): 5.8027 5.8027 5.8027 90.00 90.00 90.00
With the nearest neighbours (Å) after each atom.
Space group F-43m (No. 216)
Inequivalent atoms, fractional coordinates:
Mg1 0.0000 0.0000 0.0000 x4  4 Be 2.51, 4 Si 2.51
Be1 0.2500 0.2500 0.2500 x4  4 Ni 2.51, 4 Mg 2.51
Si1 0.2500 0.2500 0.7500 x4  4 Ni 2.51, 4 Mg 2.51
Ni1 0.0000 0.0000 0.5000 x4  4 Be 2.51, 4 Si 2.51